[1]
Below is a geometry-optimized AgMoRu2 structure, with properties calculated at the PBE level.

## Properties
The calculation puts the energy relative to the lowest polymorph listed for this composition at 0.536 eV/atom. For the total magnetization, the calculation gives 0.00 μB/f.u.

Cell lengths 7.071, 7.071, 5.511 Å; angles 90.00, 90.00, 90.00 degrees
Space group I-42d (No. 122)
Asymmetric unit:
Ag1 0.000 0.000 0.000 x4
Mo1 0.000 0.000 0.500 x4
Ru1 0.207 0.250 0.625 x8

***

[2]
Below is a geometry-optimized BeIrS2 structure, with properties calculated at the PBE level.

## Properties
For the total magnetization, the calculation gives 0.00 μB/f.u. The total energy is -5.2918 eV/atom.

Cell lengths 3.6293, 3.6293, 18.7355 Å; angles 90.00, 90.00, 120.00 degrees
Space group R-3m (No. 166, hexagonal axes)
Asymmetric unit:
Be1 0.0000 0.0000 0.0000 x3
Ir1 0.0000 0.0000 0.5000 x3
S1 0.0000 0.0000 0.1042 x6

***

[3]
Below is a geometry-optimized VPPdCl2 structure, with properties calculated at the PBE level.

## Properties
The calculation puts the energy relative to the lowest polymorph listed for this composition at 0.358 eV/atom. For the total magnetization, the calculation gives 2.56 μB/f.u.

Cell lengths 4.787, 4.787, 4.817 Å; angles 90.00, 90.00, 90.00 degrees
Space group P4/mmm (No. 123)
Asymmetric unit:
V1 0.000 0.000 0.000 x1
P1 0.500 0.500 0.000 x1
Pd1 0.500 0.500 0.500 x1
Cl1 0.000 0.500 0.500 x2

***

[4]
Below is a geometry-optimized SmTh4Hg5 structure, with properties calculated at the PBE level.

## Properties
For the total magnetization, the calculation gives 0.01 μB/f.u. The total energy is -3.8390 eV/atom.

Cell lengths 3.790, 3.790, 19.412 Å; angles 90.00, 90.00, 90.00 degrees
Space group P4/mmm (No. 123)
Asymmetric unit:
Sm1 0.000 0.000 0.000 x1
Th1 0.000 0.000 0.198 x2
Th2 0.000 0.000 0.399 x2
Hg1 0.500 0.500 0.094 x2
Hg2 0.500 0.500 0.298 x2
Hg3 0.500 0.500 0.500 x1

***

[5]
Below is a geometry-optimized MgGe2Te3 structure, with properties calculated at the PBE level.

## Properties
For the total magnetization, the calculation gives 0.00 μB/f.u. The total energy is -3.6887 eV/atom.

Cell lengths 4.275, 5.983, 12.708 Å; angles 90.00, 90.00, 90.00 degrees
Space group Immm (No. 71)
Asymmetric unit:
Mg1 0.000 0.000 0.000 x2
Ge1 0.000 0.000 0.335 x4
Te1 0.000 0.500 0.000 x2
Te2 0.000 0.500 0.335 x4

***

[6]
Below is a geometry-optimized Ce3H2Ir structure, with properties calculated at the PBE level.

## Properties
For the total magnetization, the calculation gives 2.76 μB/f.u. The total energy is -5.9635 eV/atom.

Cell lengths 3.898, 5.562, 11.048 Å; angles 90.00, 90.00, 90.00 degrees
Space group Immm (No. 71)
Asymmetric unit:
Ce1 0.000 0.000 0.000 x2
Ce2 0.000 0.000 0.319 x4
H1 0.000 0.500 0.343 x4
Ir1 0.000 0.500 0.000 x2

***

[7]
Below is a geometry-optimized TlVAu3 structure, with properties calculated at the PBE level.

## Properties
The calculation puts the energy relative to the lowest polymorph listed for this composition at 0.000 eV/atom. For the total magnetization, the calculation gives 2.67 μB/f.u.

Cell lengths 5.078, 5.078, 5.078 Å; angles 90.00, 90.00, 90.00 degrees
Space group Pm-3m (No. 221)
Asymmetric unit:
Tl1 0.000 0.000 0.000 x1
V1 0.500 0.500 0.500 x1
Au1 0.000 0.500 0.500 x3

***

[8]
Below is a geometry-optimized Np2AsSe structure, with properties calculated at the PBE level.

## Properties
The calculation puts the energy relative to the lowest polymorph listed for this composition at 0.065 eV/atom. For the total magnetization, the calculation gives 8.67 μB/f.u.

Cell lengths 4.1172, 4.1172, 13.7338 Å; angles 90.00, 90.00, 120.00 degrees
Space group P6_3/mmc (No. 194)
Asymmetric unit:
Np1 0.3333 0.6667 0.1201 x4
As1 0.0000 0.0000 0.0000 x2
Se1 0.3333 0.6667 0.7500 x2

***

[9]
Below is a geometry-optimized ErAlHg2 structure, with properties calculated at the PBE level.

## Properties
For the total magnetization, the calculation gives 0.00 μB/f.u. The total energy is -2.4963 eV/atom.

Cell lengths 4.5271, 4.5271, 15.5495 Å; angles 90.00, 90.00, 120.00 degrees
Space group R-3m (No. 166, hexagonal axes)
Asymmetric unit:
Er1 0.0000 0.0000 0.0000 x3
Al1 0.0000 0.0000 0.5000 x3
Hg1 0.0000 0.0000 0.2309 x6

***

[10]
Below is a geometry-optimized MoAs4Pt structure, with properties calculated at the PBE level.

## Properties
For the total magnetization, the calculation gives 0.28 μB/f.u. The total energy is -5.1553 eV/atom.

Cell lengths 7.535, 7.535, 7.535 Å; angles 90.00, 90.00, 90.00 degrees
Space group F-43m (No. 216)
Asymmetric unit:
Mo1 0.000 0.000 0.000 x4
As1 0.125 0.125 0.375 x16
Pt1 0.250 0.250 0.750 x4

***

[11]
Below is a geometry-optimized Li3Dy3SbSe8 structure, with properties calculated at the PBE level.

## Properties
For the total magnetization, the calculation gives 0.00 μB/f.u. The total energy is -4.8153 eV/atom.

Cell lengths 8.1244, 8.1244, 19.4756 Å; angles 90.00, 90.00, 120.00 degrees
Space group R-3m (No. 166, hexagonal axes)
Asymmetric unit:
Li1 0.0000 0.5000 0.0000 x9
Dy1 0.0000 0.5000 0.5000 x9
Sb1 0.0000 0.0000 0.5000 x3
Se1 0.0000 0.0000 0.2507 x6
Se2 0.0091 0.5046 0.2497 x18

***

[12]
Below is a geometry-optimized Al2OsW structure, with properties calculated at the PBE level.

## Properties
The calculation puts the energy relative to the lowest polymorph listed for this composition at 0.224 eV/atom. For the total magnetization, the calculation gives 0.00 μB/f.u.

Cell lengths 2.831, 4.210, 5.077 Å; angles 90.00, 98.58, 90.00 degrees
Space group P2/m (No. 10)
Asymmetric unit:
Al1 0.195 0.000 0.257 x2
Os1 0.000 0.500 0.500 x1
W1 0.500 0.500 0.000 x1

***

[13]
Below is a geometry-optimized PmPrErCd structure, with properties calculated at the PBE level.

## Properties
The calculation puts the energy relative to the lowest polymorph listed for this composition at 0.096 eV/atom. For the total magnetization, the calculation gives 0.00 μB/f.u.

Cell lengths 7.851, 7.851, 7.851 Å; angles 90.00, 90.00, 90.00 degrees
Space group F-43m (No. 216)
Asymmetric unit:
Pm1 0.000 0.000 0.000 x4
Pr1 0.000 0.000 0.500 x4
Er1 0.250 0.250 0.750 x4
Cd1 0.250 0.250 0.250 x4